CdCu2Ag2 | GGA-PBE | relaxed

- DFT formation energy (eV per atom) = 0.24
- DFT total energy (eV per atom) = -2.722
- relative energy among the computed polymorphs (kJ/mol of formula units) = 60
- total magnetization (μB/atom) = 0.0000
- crystal system = tetragonal

Lattice parameters (Å, degrees): 3.878 3.878 6.569 72.83 72.83 90.00
Element x y z (fractional)
Cu (0.403, 0.403, 0.194)
Cu (0.597, 0.597, 0.806)
Ag (0.750, 0.250, 0.500)
Ag (0.250, 0.750, 0.500)
Cd (0.000, 0.000, 0.000)

CaNpGeO6 | GGA-PBE | relaxed

- formation energy (no corrections) (eV per atom) = -2.436
- DFT total energy (eV per atom) = -7.915
- total magnetization (μB/atom) = 0.1111
- crystal system = trigonal

Lattice parameters (Å, degrees): 5.289 5.289 10.185 90.00 90.00 120.00
Element x y z (fractional)
Ca (0.000, 0.000, 0.000)
Ca (0.000, 0.000, 0.500)
Np (0.333, 0.667, 0.250)
Np (0.667, 0.333, 0.750)
Ge (0.667, 0.333, 0.250)
Ge (0.333, 0.667, 0.750)
O (0.649, 0.628, 0.143)
O (0.979, 0.351, 0.143)
O (0.351, 0.979, 0.643)
O (0.021, 0.649, 0.857)
O (0.372, 0.351, 0.357)
O (0.979, 0.628, 0.357)
O (0.628, 0.979, 0.857)
O (0.649, 0.021, 0.357)
O (0.021, 0.372, 0.643)
O (0.372, 0.021, 0.143)
O (0.628, 0.649, 0.643)
O (0.351, 0.372, 0.857)

PaBe2H6 | GGA-PBE | relaxed

- DFT total energy (eV per atom) = -4.172
- total magnetization (μB/atom) = 0.0000
- crystal system = triclinic

Lattice parameters (Å, degrees): 5.784 6.125 8.613 39.77 19.98 40.02
Element x y z (fractional)
Be (0.627, 0.684, 0.068)
Be (0.373, 0.316, 0.932)
Pa (0.000, 0.000, 0.000)
H (0.915, 0.809, 0.397)
H (0.723, 0.308, 0.256)
H (0.277, 0.692, 0.744)
H (0.085, 0.191, 0.603)
H (0.154, 0.390, 0.194)
H (0.846, 0.610, 0.806)

PmSmRuAu | GGA-PBE | relaxed

- DFT formation energy (eV per atom) = -0.46
- DFT total energy (eV per atom) = -5.968
- relative energy among the computed polymorphs (kJ/mol of formula units) = 25
- total magnetization (μB/atom) = 0.0000
- crystal system = cubic

Lattice parameters (Å, degrees): 5.066 5.066 5.066 60.00 60.00 60.00
Element x y z (fractional)
Ru (0.500, 0.500, 0.500)
Au (0.000, 0.000, 0.000)
Sm (0.250, 0.250, 0.250)
Pm (0.750, 0.750, 0.750)

CsZn2Pb2 | GGA-PBE | relaxed

- DFT formation energy (eV per atom) = 0.12
- DFT total energy (eV per atom) = -2.039
- relative energy among the computed polymorphs (kJ/mol of formula units) = 64
- total magnetization (μB/atom) = 0.0000
- crystal system = tetragonal

Lattice parameters (Å, degrees): 9.334 9.334 3.441 90.00 90.00 90.00
Element x y z (fractional)
Pb (0.143, 0.643, 0.500)
Pb (0.643, 0.857, 0.500)
Pb (0.857, 0.357, 0.500)
Pb (0.357, 0.143, 0.500)
Cs (0.000, 0.000, 0.000)
Cs (0.500, 0.500, 0.000)
Zn (0.368, 0.868, 0.000)
Zn (0.868, 0.632, 0.000)
Zn (0.632, 0.132, 0.000)
Zn (0.132, 0.368, 0.000)

Re3PtCl | GGA-PBE | relaxed

- formation energy (no corrections) (eV per atom) = 1.556
- DFT total energy (eV per atom) = -7.490
- relative energy among the computed polymorphs (kJ/mol of formula units) = 0
- total magnetization (μB/atom) = 0.0000
- crystal system = cubic

Lattice parameters (Å, degrees): 4.319 4.319 4.319 90.00 90.00 90.00
Element x y z (fractional)
Re (0.000, 0.500, 0.000)
Re (0.000, 0.000, 0.500)
Re (0.500, 0.000, 0.000)
Pt (0.500, 0.500, 0.500)
Cl (0.000, 0.000, 0.000)